VASP calculation (PBE-GGA) on a relaxed structure of HfAl3Se.

a = 5.3332 Å, b = 5.3332 Å, c = 5.3332 Å
α = 90.00°, β = 90.00°, γ = 90.00°
With the nearest neighbours (Å) after each atom.
Space group Pm-3m (No. 221)
Asymmetric unit:
Hf 0.0000 0.0000 0.0000 x1  6 Al 2.67
Al 0.0000 0.0000 0.5000 x3  2 Hf 2.67
Se 0.5000 0.5000 0.5000 x1  12 Al 3.77

ΔE_f (raw) (eV/atom): 1.080
Total DFT energy (no corrections) (eV/cell): -19.27
Distance to the lowest polymorph of the same formula (meV per atom): 389